{
  "formula": "NaMgP2O",
  "functional": "PBE",
  "state": "optimized geometry",
  "m_tot_mub_per_fu": 0.007,
  "e_tot_ev_per_atom": -2.94,
  "vol_a3_per_cell": 96.96,
  "raw_formation_energy_kj_per_mol_fu": 385,
  "e_above_lowest_polymorph_mev_per_atom": 703,
  "sg": "P4/mmm, No. 123",
  "lattice": [[4.967, 0.000, 0.000], [0.000, 3.931, 0.000], [0.000, 0.000, 4.967]],
  "species": ["Na", "O", "Mg", "P", "P"],
  "frac_coords": [[0.000, 0.000, 0.000], [0.000, 0.500, 0.000], [0.500, 0.500, 0.500], [0.500, 0.000, 0.000], [0.000, 0.000, 0.500]]
}

=====

{
  "formula": "Pr3AuI3",
  "functional": "PBE",
  "state": "optimized geometry",
  "m_tot_mub_per_fu": 0.000,
  "e_tot_ev_per_atom": -4.25,
  "vol_a3_per_cell": 520.48,
  "raw_formation_energy_kj_per_mol_fu": -720,
  "sg": "P2_1/m, No. 11",
  "lattice": [[4.283, 0.000, 0.000], [0.000, 9.500, -0.337], [0.000, 0.184, 12.784]],
  "species": ["I", "I", "I", "I", "I", "I", "Au", "Au", "Pr", "Pr", "Pr", "Pr", "Pr", "Pr"],
  "frac_coords": [[0.250, 0.629, 0.878], [0.750, 0.384, 0.631], [0.250, 0.144, 0.879], [0.750, 0.856, 0.121], [0.250, 0.616, 0.369], [0.750, 0.371, 0.122], [0.250, 0.118, 0.372], [0.750, 0.882, 0.628], [0.750, 0.902, 0.384], [0.250, 0.098, 0.616], [0.750, 0.331, 0.373], [0.250, 0.669, 0.627], [0.250, 0.115, 0.137], [0.750, 0.885, 0.863]]
}

=====

{
  "formula": "TlH6PdPt",
  "functional": "PBE",
  "state": "optimized geometry",
  "m_tot_mub_per_fu": 0.000,
  "e_tot_ev_per_atom": -3.73,
  "vol_a3_per_cell": 106.37,
  "sg": "P312, No. 149",
  "lattice": [[-4.272, -2.439, 0.142], [-0.031, -4.877, 0.654], [-0.221, 0.677, 5.024]],
  "species": ["H", "H", "H", "H", "H", "H", "Tl", "Pt", "Pd"],
  "frac_coords": [[0.015, 0.356, 0.335], [0.015, 0.629, 0.665], [0.356, 0.015, 0.665], [0.629, 0.015, 0.335], [0.356, 0.629, 0.336], [0.629, 0.356, 0.664], [0.000, 0.000, 0.000], [0.333, 0.333, 0.500], [0.667, 0.667, 0.500]]
}

=====

{
  "formula": "Er3CdHg3",
  "functional": "PBE",
  "state": "optimized geometry",
  "m_tot_mub_per_fu": 0.000,
  "e_tot_ev_per_atom": -2.49,
  "vol_a3_per_cell": 359.65,
  "e_above_lowest_polymorph_mev_per_atom": 92,
  "sg": "P6_3/m, No. 176",
  "e_form_ev_per_atom": -0.27,
  "lattice": [[5.176, 0.000, 0.000], [0.000, 8.957, 0.000], [0.000, -4.479, 7.757]],
  "species": ["Er", "Er", "Er", "Er", "Er", "Er", "Cd", "Cd", "Hg", "Hg", "Hg", "Hg", "Hg", "Hg"],
  "frac_coords": [[0.250, 0.348, 0.449], [0.750, 0.449, 0.100], [0.250, 0.100, 0.652], [0.250, 0.551, 0.900], [0.750, 0.900, 0.348], [0.750, 0.652, 0.551], [0.250, 0.667, 0.333], [0.750, 0.333, 0.667], [0.250, 0.959, 0.209], [0.250, 0.249, 0.041], [0.750, 0.041, 0.791], [0.750, 0.209, 0.249], [0.250, 0.791, 0.751], [0.750, 0.751, 0.959]]
}

=====

{
  "formula": "CsKTe4",
  "functional": "PBE",
  "state": "optimized geometry",
  "m_tot_mub_per_fu": 0.000,
  "e_tot_ev_per_atom": -2.87,
  "vol_a3_per_cell": 219.90,
  "raw_formation_energy_kj_per_mol_fu": -260,
  "e_above_lowest_polymorph_mev_per_atom": 155,
  "sg": "F-43m, No. 216",
  "lattice": [[-5.815, 3.394, -0.756], [-5.916, -3.158, 0.963], [-3.788, 1.480, 5.419]],
  "species": ["Cs", "Te", "Te", "Te", "Te", "K"],
  "frac_coords": [[0.000, 0.000, 0.000], [0.126, 0.625, 0.625], [0.625, 0.126, 0.625], [0.625, 0.625, 0.126], [0.625, 0.625, 0.625], [0.250, 0.250, 0.250]]
}

=====

{
  "formula": "Sc3GaRe",
  "functional": "PBE",
  "state": "optimized geometry",
  "m_tot_mub_per_fu": 0.000,
  "e_tot_ev_per_atom": -6.61,
  "vol_a3_per_cell": 127.57,
  "e_above_lowest_polymorph_mev_per_atom": 0,
  "sg": "Pm-3m, No. 221",
  "e_form_ev_per_atom": 0.29,
  "lattice": [[5.034, 0.000, 0.000], [0.000, 5.034, 0.000], [0.000, 0.000, 5.034]],
  "species": ["Sc", "Sc", "Sc", "Ga", "Re"],
  "frac_coords": [[0.000, 0.000, 0.500], [0.500, 0.000, 0.000], [0.000, 0.500, 0.000], [0.500, 0.500, 0.500], [0.000, 0.000, 0.000]]
}